A plane-wave DFT calculation with PBE was carried out for crystalline Dy3ThZn2 at its relaxed geometry.

Properties
Calculated volume, Å³/f.u.: 153.8
Energy of formation from the pure elements, eV/atom: -0.23
Magnetic moment, μB/atom: 0.000

Unit cell a=3.5524 b=3.5524 c=12.1870 alpha=90.00 beta=90.00 gamma=90.00
Closest atoms and distances in Å follow each position.
Fractional coordinates of all 6 atoms:
Dy 0.0000 0.0000 0.0000  8 Zn 3.08
Dy 0.0000 0.0000 0.7049  4 Zn 3.10
Dy 0.0000 0.0000 0.2951  4 Zn 3.10
Th 0.5000 0.5000 0.5000  8 Dy 3.54, 4 Th 3.55
Zn 0.5000 0.5000 0.8535  8 Dy 3.08-3.10
Zn 0.5000 0.5000 0.1465  8 Dy 3.08-3.10